MnPb | PBE | optimized geometry

Lattice parameters (Å, degrees): 4.5132 8.5961 6.8566 90.00 90.00 90.00
Fractional coordinates of all 12 atoms:
Mn 0.0000 0.0000 0.0000
Mn 0.0000 0.5000 0.5000
Mn 0.5000 0.1601 0.0661
Mn 0.5000 0.3399 0.5661
Mn 0.5000 0.6601 0.5661
Mn 0.5000 0.8399 0.0661
Pb 0.0000 0.1953 0.3410
Pb 0.0000 0.3047 0.8410
Pb 0.0000 0.6953 0.8410
Pb 0.0000 0.8047 0.3410
Pb 0.5000 0.0000 0.6788
Pb 0.5000 0.5000 0.1788

Calculated values
* space-group type: Amm2
* ΔH_f (0 K): 0.8 eV/f.u.
* calculated density: 9.82 g/cm3
* total magnetization: 20.75 μB/cell
* D(E_F): 1.87 states/eV/f.u.